Ca2PdPb2 | Alexandria | PBE-GGA | relaxed; excess energy over the best structure of this formula in the dataset = 0 meV/atom; symmetry = C2/m (12); E_form = -0.5678 eV/atom
1.0
5.703 -2.344 0.000
5.703 2.344 0.000
-4.964 0.000 10.330
Ca Pd Pb
4 2 4
Cartesian
-1.601 0.000 3.419 Ca
1.487 0.000 1.201 Ca
4.954 0.000 9.130 Ca
8.042 0.000 6.912 Ca
-0.062 0.000 6.904 Pd
6.503 0.000 3.426 Pd
1.730 0.000 4.576 Pb
4.753 0.000 1.213 Pb
1.688 0.000 9.117 Pb
4.712 0.000 5.754 Pb

---

Ca4PdPb | Alexandria | PBE-GGA | relaxed; excess energy over the best structure of this formula in the dataset = 0 meV/atom; symmetry = C2/c (15); E_form = -0.4980 eV/atom
1.0
4.687 -7.142 0.000
4.687 7.142 0.000
-2.462 0.000 5.617
Ca Pd Pb
8 2 2
Cartesian
1.299 4.704 5.226 Ca
1.066 0.958 3.786 Ca
4.382 4.704 3.200 Ca
2.296 -0.958 0.977 Ca
4.616 0.958 4.640 Ca
2.530 -4.704 2.417 Ca
5.847 -0.958 1.832 Ca
5.613 -4.704 0.391 Ca
2.841 7.118 4.213 Pd
4.072 -7.118 1.404 Pd
4.072 1.927 1.404 Pb
2.841 -1.927 4.213 Pb

---

Ca3PdPb2 | Alexandria | PBE-GGA | relaxed; symmetry = Pnma (62); E_form = -0.5722 eV/atom
1.0
12.486 0.000 0.000
0.000 4.867 0.000
0.000 0.000 11.562
Ca Pd Pb
12 4 8
Cartesian
0.628 1.217 1.390 Ca
1.455 3.650 6.527 Ca
2.761 1.217 9.435 Ca
3.482 3.650 3.655 Ca
4.788 1.217 0.746 Ca
5.614 3.650 7.171 Ca
6.871 1.217 4.391 Ca
7.698 3.650 10.815 Ca
9.004 1.217 7.907 Ca
9.725 3.650 2.126 Ca
11.031 1.217 5.034 Ca
11.857 3.650 10.172 Ca
1.447 1.217 4.368 Pd
4.796 3.650 10.149 Pd
7.690 1.217 1.412 Pd
11.039 3.650 7.193 Pd
0.235 3.650 3.453 Pb
2.469 3.650 0.233 Pb
3.774 1.217 6.014 Pb
6.008 1.217 9.234 Pb
6.478 3.650 2.328 Pb
8.712 3.650 5.548 Pb
10.017 1.217 11.328 Pb
12.251 1.217 8.108 Pb

---

Ca3PdPb3 | Alexandria | PBE-GGA | relaxed; symmetry = C2/m (12); E_form = -0.5532 eV/atom
1.0
5.734 -2.358 0.000
5.734 2.358 0.000
-4.956 0.000 14.966
Ca Pd Pb
6 2 6
Cartesian
-1.573 0.000 5.758 Ca
-3.471 0.000 13.752 Ca
1.500 0.000 3.568 Ca
5.013 0.000 11.398 Ca
9.984 0.000 1.214 Ca
8.086 0.000 9.208 Ca
-0.067 0.000 9.221 Pd
6.581 0.000 5.745 Pd
1.763 0.000 6.902 Pb
-0.249 0.000 13.815 Pb
1.718 0.000 11.417 Pb
4.795 0.000 3.549 Pb
6.762 0.000 1.152 Pb
4.750 0.000 8.064 Pb

---

Ca3Pd3Pb2 | Alexandria | PBE-GGA | relaxed; symmetry = Cmcm (63); E_form = -0.5810 eV/atom
1.0
2.322 -5.724 0.000
2.322 5.724 0.000
0.000 0.000 14.746
Ca Pd Pb
6 6 4
Cartesian
2.322 4.966 9.003 Ca
2.322 4.966 13.116 Ca
2.322 1.684 11.060 Ca
2.322 -1.684 3.687 Ca
2.322 -4.966 1.630 Ca
2.322 -4.966 5.743 Ca
2.322 1.419 3.687 Pd
2.322 1.183 8.074 Pd
2.322 1.183 14.045 Pd
2.322 -1.183 0.701 Pd
2.322 -1.183 6.672 Pd
2.322 -1.419 11.060 Pd
2.322 3.101 1.400 Pb
2.322 3.101 5.973 Pb
2.322 -3.101 8.773 Pb
2.322 -3.101 13.346 Pb

---

CaPd7Pb2 | Alexandria | PBE-GGA | relaxed; symmetry = Cmmm (65); E_form = -0.0162 eV/atom
1.0
3.677 -7.100 0.000
3.677 7.100 0.000
0.000 0.000 4.375
Ca Pd Pb
1 7 2
Cartesian
0.000 0.000 0.000 Ca
1.342 1.479 2.188 Pd
3.677 4.356 0.000 Pd
1.342 -1.479 2.188 Pd
3.677 0.000 2.188 Pd
6.012 1.479 2.188 Pd
3.677 -4.356 0.000 Pd
6.012 -1.479 2.188 Pd
3.677 2.796 2.188 Pb
3.677 -2.796 2.188 Pb

---

CaPmPdPb | Alexandria | PBE-GGA | relaxed; symmetry = F-43m (216); E_form = -0.5931 eV/atom
1.0
7.489 0.000 0.000
0.000 7.489 0.000
0.000 0.000 7.489
Ca Pm Pd Pb
4 4 4 4
Cartesian
0.000 0.000 0.000 Ca
0.000 3.745 3.745 Ca
3.745 0.000 3.745 Ca
3.745 3.745 0.000 Ca
0.000 0.000 3.745 Pm
0.000 3.745 0.000 Pm
3.745 0.000 0.000 Pm
3.745 3.745 3.745 Pm
1.872 1.872 1.872 Pd
1.872 5.617 5.617 Pd
5.617 1.872 5.617 Pd
5.617 5.617 1.872 Pd
1.872 1.872 5.617 Pb
1.872 5.617 1.872 Pb
5.617 1.872 1.872 Pb
5.617 5.617 5.617 Pb

---

CaPrPdPb | Alexandria | PBE-GGA | relaxed; symmetry = F-43m (216); E_form = -0.5852 eV/atom
1.0
7.552 0.000 0.000
0.000 7.552 0.000
0.000 0.000 7.552
Ca Pr Pd Pb
4 4 4 4
Cartesian
0.000 0.000 0.000 Ca
0.000 3.776 3.776 Ca
3.776 0.000 3.776 Ca
3.776 3.776 0.000 Ca
0.000 0.000 3.776 Pr
0.000 3.776 0.000 Pr
3.776 0.000 0.000 Pr
3.776 3.776 3.776 Pr
1.888 1.888 5.664 Pd
1.888 5.664 1.888 Pd
5.664 1.888 1.888 Pd
5.664 5.664 5.664 Pd
1.888 1.888 1.888 Pb
1.888 5.664 5.664 Pb
5.664 1.888 5.664 Pb
5.664 5.664 1.888 Pb

---

CaPdPtPb | Alexandria | PBE-GGA | relaxed; symmetry = F-43m (216); E_form = -0.5405 eV/atom
1.0
6.900 0.000 0.000
0.000 6.900 0.000
0.000 0.000 6.900
Ca Pd Pt Pb
4 4 4 4
Cartesian
0.000 0.000 0.000 Ca
0.000 3.450 3.450 Ca
3.450 0.000 3.450 Ca
3.450 3.450 0.000 Ca
1.725 1.725 5.175 Pd
1.725 5.175 1.725 Pd
5.175 1.725 1.725 Pd
5.175 5.175 5.175 Pd
1.725 1.725 1.725 Pt
1.725 5.175 5.175 Pt
5.175 1.725 5.175 Pt
5.175 5.175 1.725 Pt
0.000 0.000 3.450 Pb
0.000 3.450 0.000 Pb
3.450 0.000 0.000 Pb
3.450 3.450 3.450 Pb

---

CaPdRhPb | Alexandria | PBE-GGA | relaxed; symmetry = F-43m (216); E_form = -0.3979 eV/atom
1.0
6.794 0.000 0.000
0.000 6.794 0.000
0.000 0.000 6.794
Ca Pd Rh Pb
4 4 4 4
Cartesian
0.000 0.000 0.000 Ca
0.000 3.397 3.397 Ca
3.397 0.000 3.397 Ca
3.397 3.397 0.000 Ca
1.698 1.698 1.698 Pd
1.698 5.095 5.095 Pd
5.095 1.698 5.095 Pd
5.095 5.095 1.698 Pd
1.698 1.698 5.095 Rh
1.698 5.095 1.698 Rh
5.095 1.698 1.698 Rh
5.095 5.095 5.095 Rh
0.000 0.000 3.397 Pb
0.000 3.397 0.000 Pb
3.397 0.000 0.000 Pb
3.397 3.397 3.397 Pb

---

CaPdRhPb2 | Alexandria | PBE-GGA | relaxed; symmetry = P4/mmm (123); E_form = 0.2497 eV/atom
1.0
5.194 0.000 0.000
0.000 5.194 0.000
0.000 0.000 5.185
Ca Pd Rh Pb
1 1 1 2
Cartesian
0.000 0.000 0.000 Ca
2.597 2.597 2.593 Pd
2.597 2.597 0.000 Rh
0.000 2.597 2.593 Pb
2.597 0.000 2.593 Pb

---

Ca2SbPd6Pb | Alexandria | PBE-GGA | relaxed; formation energy (no corrections) = -5.15 eV/f.u.; symmetry = P-1 (2)
1.0
5.611 0.000 0.000
2.793 5.978 0.000
2.792 0.988 6.100
Ca Sb Pd Pb
2 1 6 1
Cartesian
1.397 1.721 1.511 Ca
9.800 5.245 4.590 Ca
4.202 0.494 3.050 Sb
2.804 1.890 4.924 Pd
4.194 3.101 2.715 Pd
5.609 5.077 1.177 Pd
5.588 1.888 4.923 Pd
7.003 3.864 3.385 Pd
8.392 5.075 1.177 Pd
4.202 2.989 0.000 Pb

---

Ca2Sb3Pd4Pb | Alexandria | PBE-GGA | relaxed; formation energy (no corrections) = -6.57 eV/f.u.; symmetry = P-4m2 (115)
1.0
4.611 0.000 0.000
0.000 4.611 0.000
0.000 0.000 11.042
Ca Sb Pd Pb
2 3 4 1
Cartesian
0.000 2.305 2.525 Ca
2.305 0.000 8.516 Ca
0.000 2.305 9.648 Sb
2.305 0.000 1.393 Sb
2.305 2.305 5.521 Sb
0.000 0.000 0.000 Pd
0.000 2.305 7.076 Pd
2.305 0.000 3.966 Pd
2.305 2.305 0.000 Pd
0.000 0.000 5.521 Pb

---

CaSb2Pd7Pb2 | Alexandria | PBE-GGA | relaxed; formation energy (no corrections) = -4.37 eV/f.u.; symmetry = C2/m (12)
1.0
2.898 -2.895 0.000
2.898 2.895 0.000
-1.553 0.000 15.207
Ca Sb Pd Pb
1 2 7 2
Cartesian
0.000 0.000 0.000 Ca
1.334 0.000 11.425 Sb
2.909 0.000 3.782 Sb
1.456 1.445 2.140 Pd
1.335 0.000 8.765 Pd
2.787 1.445 13.067 Pd
2.898 0.000 0.000 Pd
1.456 -1.445 2.140 Pd
2.908 0.000 6.442 Pd
2.787 -1.445 13.067 Pd
0.064 0.000 6.101 Pb
4.179 0.000 9.106 Pb

---

Ca3Sb2Pd9Pb | Alexandria | PBE-GGA | relaxed; formation energy (no corrections) = -5.95 eV/f.u.; symmetry = P-3m1 (164)
1.0
6.771 0.000 0.000
-3.385 5.864 0.000
0.000 0.000 9.583
Ca Sb Pd Pb
3 2 9 1
Cartesian
0.000 0.000 0.000 Ca
0.000 3.909 7.203 Ca
3.385 1.955 2.380 Ca
0.000 3.909 1.751 Sb
3.385 1.955 7.832 Sb
-1.693 2.932 0.000 Pd
0.000 1.558 2.562 Pd
-2.036 5.085 2.562 Pd
1.349 0.779 7.020 Pd
3.385 0.000 0.000 Pd
1.693 2.932 0.000 Pd
2.036 5.085 2.562 Pd
5.422 0.779 7.020 Pd
3.385 4.306 7.020 Pd
0.000 0.000 4.791 Pb

---

Ca3SbPd8Pb2 | Alexandria | PBE-GGA | relaxed; formation energy (no corrections) = -7.23 eV/f.u.; symmetry = P-3m1 (164)
1.0
5.609 0.000 0.000
-2.804 4.857 0.000
0.000 0.000 10.582
Ca Sb Pd Pb
3 1 8 2
Cartesian
0.000 0.000 0.000 Ca
0.000 3.238 5.989 Ca
2.804 1.619 4.593 Ca
0.000 0.000 5.291 Sb
0.000 1.612 3.127 Pd
-1.408 4.051 3.127 Pd
1.396 0.806 7.454 Pd
0.000 3.238 8.823 Pd
2.804 1.619 1.758 Pd
1.408 4.051 3.127 Pd
4.213 0.806 7.454 Pd
2.804 3.245 7.454 Pd
0.000 3.238 0.936 Pb
2.804 1.619 9.646 Pb

---

CaScPdPb | Alexandria | PBE-GGA | relaxed; symmetry = F-43m (216); E_form = -0.5304 eV/atom
1.0
7.183 0.000 0.000
0.000 7.183 0.000
0.000 0.000 7.183
Ca Sc Pd Pb
4 4 4 4
Cartesian
0.000 0.000 0.000 Ca
0.000 3.591 3.591 Ca
3.591 0.000 3.591 Ca
3.591 3.591 0.000 Ca
0.000 0.000 3.591 Sc
0.000 3.591 0.000 Sc
3.591 0.000 0.000 Sc
3.591 3.591 3.591 Sc
1.796 1.796 1.796 Pd
1.796 5.387 5.387 Pd
5.387 1.796 5.387 Pd
5.387 5.387 1.796 Pd
1.796 1.796 5.387 Pb
1.796 5.387 1.796 Pb
5.387 1.796 1.796 Pb
5.387 5.387 5.387 Pb

---

CaPdPb2Se | Alexandria | PBE-GGA | relaxed; formation energy (no corrections) = -0.25 eV/f.u.; symmetry = P4/mmm (123)
1.0
5.815 0.000 0.000
0.000 5.815 0.000
0.000 0.000 4.679
Ca Pd Pb Se
1 1 2 1
Cartesian
0.000 0.000 0.000 Ca
2.908 2.908 0.000 Pd
0.000 2.908 2.339 Pb
2.908 0.000 2.339 Pb
2.908 2.908 2.339 Se

---

Ca4Si3Pd12Pb | Alexandria | PBE-GGA | relaxed; formation energy (no corrections) = -8.46 eV/f.u.; symmetry = Im-3m (229)
1.0
-4.737 4.737 4.737
4.737 -4.737 4.737
4.737 4.737 -4.737
Ca Si Pd Pb
4 3 12 1
Cartesian
2.368 2.368 -2.368 Ca
2.368 -2.368 2.368 Ca
-2.368 2.368 2.368 Ca
2.368 2.368 2.368 Ca
4.737 0.000 0.000 Si
0.000 4.737 0.000 Si
0.000 0.000 4.737 Si
2.550 0.000 0.000 Pd
6.923 0.000 0.000 Pd
4.737 2.368 0.000 Pd
4.737 0.000 2.368 Pd
0.000 2.550 0.000 Pd
0.000 0.000 2.550 Pd
2.368 4.737 0.000 Pd
2.368 0.000 4.737 Pd
0.000 6.923 0.000 Pd
0.000 0.000 6.923 Pd
0.000 4.737 2.368 Pd
0.000 2.368 4.737 Pd
0.000 0.000 0.000 Pb

---

Ca3SnPd8Pb2 | Alexandria | PBE-GGA | relaxed; symmetry = P-3m1 (164); E_form = -0.5050 eV/atom
1.0
5.612 0.000 0.000
-2.806 4.860 0.000
0.000 0.000 10.586
Ca Sn Pd Pb
3 1 8 2
Cartesian
0.000 0.000 0.000 Ca
0.000 3.240 6.005 Ca
2.806 1.620 4.581 Ca
0.000 0.000 5.293 Sn
0.000 1.614 3.152 Pd
-1.408 4.053 3.152 Pd
1.398 0.807 7.435 Pd
0.000 3.240 8.832 Pd
2.806 1.620 1.754 Pd
1.408 4.053 3.152 Pd
4.214 0.807 7.435 Pd
2.806 3.246 7.435 Pd
0.000 3.240 0.934 Pb
2.806 1.620 9.652 Pb

---

Ca2SnPd6Pb | Alexandria | PBE-GGA | relaxed; symmetry = C2/m (12); E_form = -0.5012 eV/atom
1.0
5.992 -2.818 0.000
5.992 2.818 0.000
-4.891 0.000 6.042
Ca Sn Pd Pb
2 1 6 1
Cartesian
-1.210 0.000 1.523 Ca
8.304 0.000 4.519 Ca
5.992 0.000 0.000 Sn
-0.318 1.399 4.184 Pd
3.364 0.000 0.306 Pd
7.412 1.399 1.858 Pd
-0.318 -1.399 4.184 Pd
3.730 0.000 5.736 Pd
7.412 -1.399 1.858 Pd
3.547 0.000 3.021 Pb

---

Ca2Sn3Pd4Pb | Alexandria | PBE-GGA | relaxed; symmetry = P-4m2 (115); E_form = -0.6084 eV/atom
1.0
4.576 0.000 0.000
0.000 4.576 0.000
0.000 0.000 11.156
Ca Sn Pd Pb
2 3 4 1
Cartesian
0.000 2.288 2.668 Ca
2.288 0.000 8.488 Ca
0.000 2.288 9.785 Sn
2.288 0.000 1.371 Sn
2.288 2.288 5.578 Sn
0.000 0.000 0.000 Pd
0.000 2.288 7.183 Pd
2.288 0.000 3.973 Pd
2.288 2.288 0.000 Pd
0.000 0.000 5.578 Pb